# 1
Below is a geometry-optimized DyCrRu2 structure, with properties calculated at the PBE-GGA level.

The structure in CIF format:
```
data_DyCrRu2
_cell_length_a 3.1290
_cell_length_b 3.1290
_cell_length_c 6.7010
_cell_angle_alpha 90.00
_cell_angle_beta 90.00
_cell_angle_gamma 90.00
_symmetry_space_group_name_H-M 'P 1'
_symmetry_Int_Tables_number 1
_symmetry_space_group_name_Hall 'P 1'
loop_
_atom_site_label
_atom_site_fract_x
_atom_site_fract_y
_atom_site_fract_z
Ru1 0.0000 0.0000 0.7948
Ru2 0.0000 0.0000 0.2052
Cr1 0.5000 0.5000 0.0000
Dy1 0.5000 0.5000 0.5000
```

The density of states at the Fermi level comes out at 3.56 states/eV/cell. The formation energy comes out at 4 meV per atom. For the volume, the calculation gives 16.401 Å³ per atom. Its space-group type is P4/mmm.

***

# 2
Below is a geometry-optimized DyCr2S4 structure, with properties calculated at the PBE-GGA level.

The structure in CIF format:
```
data_DyCr2S4
_cell_length_a 7.0297
_cell_length_b 7.0297
_cell_length_c 7.0317
_cell_angle_alpha 108.47
_cell_angle_beta 108.48
_cell_angle_gamma 111.47
_symmetry_space_group_name_H-M 'P 1'
_symmetry_Int_Tables_number 1
_symmetry_space_group_name_Hall 'P 1'
loop_
_atom_site_label
_atom_site_fract_x
_atom_site_fract_y
_atom_site_fract_z
S1 0.9201 0.2377 0.3176
S2 0.8525 0.6700 0.1823
S3 0.4877 0.6702 0.8177
S4 0.9201 0.6024 0.6823
S5 0.3301 0.1475 0.8178
S6 0.7623 0.0797 0.6821
S7 0.3297 0.5123 0.1822
S8 0.3975 0.0802 0.3179
Cr1 0.6250 0.8750 0.2500
Cr2 0.6250 0.3750 0.7500
Cr3 0.1250 0.3750 0.7500
Cr4 0.6250 0.3750 0.2500
Dy1 0.2500 0.7500 0.5000
Dy2 0.0000 0.0000 0.0000
```

The density of states at the Fermi level comes out at 8.10 states/eV/cell. Its formation energy from raw total energies is -1037 meV per atom. For the volume, the calculation gives 19.091 Å³ per atom. Its space-group type is I4_1/amd.

***

# 3
Below is a geometry-optimized Dy3Cr5S12 structure, with properties calculated at the PBE-GGA level.

The structure in CIF format:
```
data_Dy3Cr5S12
_cell_length_a 12.8653
_cell_length_b 12.8653
_cell_length_c 12.8653
_cell_angle_alpha 109.47
_cell_angle_beta 109.47
_cell_angle_gamma 109.47
_symmetry_space_group_name_H-M 'P 1'
_symmetry_Int_Tables_number 1
_symmetry_space_group_name_Hall 'P 1'
loop_
_atom_site_label
_atom_site_fract_x
_atom_site_fract_y
_atom_site_fract_z
Cr1 0.2500 0.8750 0.1250
Cr2 0.5000 0.0000 0.0000
Cr3 0.3750 0.2500 0.1250
Cr4 0.8750 0.6250 0.7500
Cr5 0.0000 0.5000 0.0000
Cr6 0.6250 0.7500 0.8750
Cr7 0.7500 0.1250 0.8750
Cr8 0.5000 0.0000 0.5000
Cr9 0.5000 0.5000 0.0000
Cr10 0.6250 0.8750 0.2500
Cr11 0.2500 0.3750 0.6250
Cr12 0.0000 0.0000 0.5000
Cr13 0.1250 0.7500 0.3750
Cr14 0.1250 0.3750 0.2500
Cr15 0.8750 0.2500 0.6250
Cr16 0.5000 0.5000 0.5000
Cr17 0.0000 0.0000 0.0000
Cr18 0.3750 0.1250 0.7500
Cr19 0.0000 0.5000 0.5000
Cr20 0.7500 0.6250 0.3750
S1 0.5301 0.3224 0.9087
S2 0.9087 0.8224 0.5301
S3 0.7077 0.1214 0.0301
S4 0.4699 0.6776 0.0913
S5 0.6776 0.2077 0.5863
S6 0.5863 0.8786 0.4087
S7 0.9699 0.3786 0.2923
S8 0.0863 0.9087 0.3786
S9 0.8786 0.5863 0.9087
S10 0.3224 0.7923 0.4137
S11 0.5913 0.6214 0.4137
S12 0.4087 0.0301 0.3224
S13 0.4137 0.2923 0.3224
S14 0.9137 0.8224 0.7923
S15 0.3786 0.4087 0.0863
S16 0.9137 0.0913 0.6214
S17 0.1214 0.7077 0.5301
S18 0.8786 0.2923 0.4699
S19 0.5863 0.7077 0.6776
S20 0.6214 0.5913 0.9137
S21 0.2923 0.8786 0.9699
S22 0.3786 0.9699 0.7923
S23 0.4087 0.3786 0.5863
S24 0.2077 0.6776 0.0863
S25 0.1776 0.0913 0.9699
S26 0.2077 0.5301 0.6214
S27 0.8224 0.9087 0.0301
S28 0.9699 0.5913 0.1776
S29 0.6214 0.0301 0.2077
S30 0.4137 0.1214 0.5913
S31 0.1776 0.0863 0.7077
S32 0.3224 0.5301 0.4087
S33 0.7923 0.3224 0.9137
S34 0.1214 0.4137 0.0913
S35 0.0301 0.4087 0.8224
S36 0.7077 0.5863 0.1776
S37 0.7923 0.4699 0.3786
S38 0.4699 0.7923 0.8786
S39 0.0301 0.6214 0.7077
S40 0.8224 0.9137 0.2923
S41 0.0913 0.1776 0.4699
S42 0.0913 0.9137 0.1214
S43 0.6776 0.4699 0.5913
S44 0.5301 0.2077 0.1214
S45 0.2923 0.4137 0.8224
S46 0.5913 0.9699 0.6776
S47 0.9087 0.0863 0.8786
S48 0.0863 0.1776 0.2077
Dy1 0.7500 0.8750 0.6250
Dy2 0.6250 0.2500 0.3750
Dy3 0.8750 0.1250 0.2500
Dy4 0.8750 0.7500 0.1250
Dy5 0.1250 0.8750 0.7500
Dy6 0.3750 0.6250 0.2500
Dy7 0.6250 0.3750 0.7500
Dy8 0.2500 0.6250 0.8750
Dy9 0.7500 0.3750 0.1250
Dy10 0.1250 0.2500 0.8750
Dy11 0.2500 0.1250 0.3750
Dy12 0.3750 0.7500 0.6250
```

The density of states at the Fermi level comes out at 38.39 states/eV/cell. Its formation energy from raw total energies is -1069 meV per atom. For the volume, the calculation gives 20.490 Å³ per atom. Its space-group type is Ia-3d.

***

# 4
Below is a geometry-optimized DyScCr2S6 structure, with properties calculated at the PBE-GGA level.

The structure in CIF format:
```
data_DyScCr2S6
_cell_length_a 6.3967
_cell_length_b 6.3971
_cell_length_c 6.7106
_cell_angle_alpha 61.55
_cell_angle_beta 61.56
_cell_angle_gamma 60.02
_symmetry_space_group_name_H-M 'P 1'
_symmetry_Int_Tables_number 1
_symmetry_space_group_name_Hall 'P 1'
loop_
_atom_site_label
_atom_site_fract_x
_atom_site_fract_y
_atom_site_fract_z
Cr1 0.0094 0.0094 0.9719
Cr2 0.5121 0.5121 0.4637
S1 0.8888 0.6275 0.2370
S2 0.1480 0.3676 0.7454
S3 0.3678 0.7386 0.7457
S4 0.7385 0.1480 0.7457
S5 0.6275 0.2465 0.2371
S6 0.2466 0.8889 0.2372
Sc1 0.3148 0.3150 0.0551
Dy1 0.8080 0.8078 0.5764
```

Its formation energy from raw total energies is -1252 meV per atom. For the volume, the calculation gives 19.863 Å³ per atom. Its space-group type is R3.

***

# 5
Below is a geometry-optimized Dy2ScCrS6 structure, with properties calculated at the PBE-GGA level.

The structure in CIF format:
```
data_Dy2ScCrS6
_cell_length_a 6.2889
_cell_length_b 6.8978
_cell_length_c 9.2696
_cell_angle_alpha 90.00
_cell_angle_beta 91.50
_cell_angle_gamma 90.00
_symmetry_space_group_name_H-M 'P 1'
_symmetry_Int_Tables_number 1
_symmetry_space_group_name_Hall 'P 1'
loop_
_atom_site_label
_atom_site_fract_x
_atom_site_fract_y
_atom_site_fract_z
S1 0.6352 0.0365 0.2601
S2 0.6836 0.3210 0.9360
S3 0.8314 0.8078 0.9371
S4 0.8648 0.5365 0.2399
S5 0.3648 0.9635 0.7399
S6 0.6686 0.3078 0.5629
S7 0.8164 0.8210 0.5640
S8 0.3164 0.6790 0.0640
S9 0.1686 0.1922 0.0629
S10 0.3314 0.6922 0.4371
S11 0.1836 0.1790 0.4360
S12 0.1352 0.4635 0.7601
Dy1 0.9582 0.1040 0.7543
Dy2 0.0418 0.8960 0.2457
Dy3 0.5418 0.6040 0.7457
Dy4 0.4582 0.3960 0.2543
Cr1 0.5000 0.0000 0.5000
Cr2 0.0000 0.5000 0.0000
Sc1 0.5000 0.0000 0.0000
Sc2 0.0000 0.5000 0.5000
```

Its formation energy from raw total energies is -1678 meV per atom. For the volume, the calculation gives 20.099 Å³ per atom. Its space-group type is P2_1/c.

***

# 6
Below is a geometry-optimized DyTl3Cr2S6 structure, with properties calculated at the PBE-GGA level.

The structure in CIF format:
```
data_DyTl3Cr2S6
_cell_length_a 6.4638
_cell_length_b 6.4638
_cell_length_c 7.7619
_cell_angle_alpha 98.06
_cell_angle_beta 98.06
_cell_angle_gamma 119.79
_symmetry_space_group_name_H-M 'P 1'
_symmetry_Int_Tables_number 1
_symmetry_space_group_name_Hall 'P 1'
loop_
_atom_site_label
_atom_site_fract_x
_atom_site_fract_y
_atom_site_fract_z
Cr1 0.6665 0.3335 0.0000
Cr2 0.3335 0.6665 0.0000
S1 0.3052 0.3052 0.8228
S2 0.5735 0.9377 0.8152
S3 0.0623 0.4265 0.1848
S4 0.6948 0.6948 0.1772
S5 0.4265 0.0623 0.1848
S6 0.9377 0.5735 0.8152
Tl1 0.8421 0.1579 0.5000
Tl2 0.5000 0.5000 0.5000
Tl3 0.1579 0.8421 0.5000
Dy1 0.0000 0.0000 0.0000
```

The density of states at the Fermi level comes out at 1.51 states/eV/cell. Its formation energy from raw total energies is -835 meV per atom. For the volume, the calculation gives 22.519 Å³ per atom. Its space-group type is C2/m.

***

# 7
Below is a geometry-optimized Dy2UCrS6 structure, with properties calculated at the PBE-GGA level.

The structure in CIF format:
```
data_Dy2UCrS6
_cell_length_a 6.7236
_cell_length_b 6.7235
_cell_length_c 7.1756
_cell_angle_alpha 62.06
_cell_angle_beta 62.06
_cell_angle_gamma 60.00
_symmetry_space_group_name_H-M 'P 1'
_symmetry_Int_Tables_number 1
_symmetry_space_group_name_Hall 'P 1'
loop_
_atom_site_label
_atom_site_fract_x
_atom_site_fract_y
_atom_site_fract_z
Dy1 0.0195 0.0195 0.9414
Dy2 0.5183 0.5183 0.4450
S1 0.6935 0.1033 0.7680
S2 0.1033 0.4353 0.7680
S3 0.2109 0.9455 0.2530
S4 0.4353 0.6935 0.7680
S5 0.5906 0.2109 0.2531
S6 0.9455 0.5906 0.2530
U1 0.8218 0.8218 0.5347
Cr1 0.3230 0.3230 0.0310
```

The density of states at the Fermi level comes out at 4.32 states/eV/cell. Its formation energy from raw total energies is -1490 meV per atom. For the volume, the calculation gives 23.626 Å³ per atom. Its space-group type is R3.

***

# 8
Below is a geometry-optimized Dy3CrSe6 structure, with properties calculated at the PBE-GGA level.

The structure in CIF format:
```
data_Dy3CrSe6
_cell_length_a 6.8675
_cell_length_b 8.8305
_cell_length_c 8.8305
_cell_angle_alpha 101.91
_cell_angle_beta 90.00
_cell_angle_gamma 90.00
_symmetry_space_group_name_H-M 'P 1'
_symmetry_Int_Tables_number 1
_symmetry_space_group_name_Hall 'P 1'
loop_
_atom_site_label
_atom_site_fract_x
_atom_site_fract_y
_atom_site_fract_z
Se1 0.6965 0.9016 0.4278
Se2 0.1865 0.0378 0.9622
Se3 0.6628 0.2226 0.7774
Se4 0.6965 0.5722 0.0984
Se5 0.1965 0.0984 0.5722
Se6 0.6865 0.9622 0.0378
Se7 0.1965 0.4278 0.9016
Se8 0.1628 0.7774 0.2226
Se9 0.1860 0.3685 0.3060
Se10 0.6860 0.3060 0.3685
Se11 0.6860 0.6315 0.6940
Se12 0.1860 0.6940 0.6315
Cr1 0.5161 0.8047 0.1953
Cr2 0.0161 0.1953 0.8047
Dy1 0.4829 0.2819 0.0831
Dy2 0.8891 0.5987 0.4013
Dy3 0.9829 0.0831 0.2819
Dy4 0.3891 0.4013 0.5987
Dy5 0.4829 0.9169 0.7181
Dy6 0.9829 0.7181 0.9169
```

The density of states at the Fermi level comes out at 3.40 states/eV/cell. Its formation energy from raw total energies is -1427 meV per atom. For the volume, the calculation gives 26.200 Å³ per atom. Its space-group type is Cmc2_1.

***

# 9
Below is a geometry-optimized Dy2CrSe structure, with properties calculated at the PBE-GGA level.

The structure in CIF format:
```
data_Dy2CrSe
_cell_length_a 3.6582
_cell_length_b 3.6582
_cell_length_c 9.8139
_cell_angle_alpha 79.26
_cell_angle_beta 79.26
_cell_angle_gamma 60.00
_symmetry_space_group_name_H-M 'P 1'
_symmetry_Int_Tables_number 1
_symmetry_space_group_name_Hall 'P 1'
loop_
_atom_site_label
_atom_site_fract_x
_atom_site_fract_y
_atom_site_fract_z
Dy1 0.1022 0.1022 0.6933
Dy2 0.8978 0.8978 0.3067
Se1 0.5000 0.5000 0.5000
Cr1 0.0000 0.0000 0.0000
```

The density of states at the Fermi level comes out at 3.58 states/eV/cell. Its formation energy from raw total energies is -75 meV per atom. For the volume, the calculation gives 27.768 Å³ per atom. Its space-group type is R-3m.

***

# 10
Below is a geometry-optimized Dy2CrSi structure, with properties calculated at the PBE-GGA level.

The structure in CIF format:
```
data_Dy2CrSi
_cell_length_a 3.4473
_cell_length_b 3.4473
_cell_length_c 10.1552
_cell_angle_alpha 80.23
_cell_angle_beta 80.23
_cell_angle_gamma 60.00
_symmetry_space_group_name_H-M 'P 1'
_symmetry_Int_Tables_number 1
_symmetry_space_group_name_Hall 'P 1'
loop_
_atom_site_label
_atom_site_fract_x
_atom_site_fract_y
_atom_site_fract_z
Dy1 0.9017 0.9017 0.2949
Dy2 0.0983 0.0983 0.7051
Si1 0.5000 0.5000 0.5000
Cr1 0.0000 0.0000 0.0000
```

The density of states at the Fermi level comes out at 2.75 states/eV/cell. Its formation energy from raw total energies is 451 meV per atom. For the volume, the calculation gives 25.622 Å³ per atom. Its space-group type is R-3m.

***

# 11
Below is a geometry-optimized DyCr2Si2 structure, with properties calculated at the PBE-GGA level.

The structure in CIF format:
```
data_DyCr2Si2
_cell_length_a 6.0004
_cell_length_b 6.0004
_cell_length_c 6.0004
_cell_angle_alpha 142.61
_cell_angle_beta 142.61
_cell_angle_gamma 53.91
_symmetry_space_group_name_H-M 'P 1'
_symmetry_Int_Tables_number 1
_symmetry_space_group_name_Hall 'P 1'
loop_
_atom_site_label
_atom_site_fract_x
_atom_site_fract_y
_atom_site_fract_z
Cr1 0.7500 0.2500 0.5000
Cr2 0.2500 0.7500 0.5000
Si1 0.6152 0.6152 0.0000
Si2 0.3848 0.3848 0.0000
Dy1 0.0000 0.0000 0.0000
```

The density of states at the Fermi level comes out at 4.59 states/eV/cell. Its formation energy from raw total energies is -437 meV per atom. For the volume, the calculation gives 15.828 Å³ per atom. Its space-group type is I4/mmm.

***

# 12
Below is a geometry-optimized SmDyZnCr structure, with properties calculated at the PBE-GGA level.

The structure in CIF format:
```
data_SmDyZnCr
_cell_length_a 5.0964
_cell_length_b 5.0964
_cell_length_c 5.0964
_cell_angle_alpha 60.00
_cell_angle_beta 60.00
_cell_angle_gamma 60.00
_symmetry_space_group_name_H-M 'P 1'
_symmetry_Int_Tables_number 1
_symmetry_space_group_name_Hall 'P 1'
loop_
_atom_site_label
_atom_site_fract_x
_atom_site_fract_y
_atom_site_fract_z
Zn1 0.7500 0.7500 0.7500
Sm1 0.5000 0.5000 0.5000
Dy1 0.0000 0.0000 0.0000
Cr1 0.2500 0.2500 0.2500
```

The density of states at the Fermi level comes out at 1.79 states/eV/cell. The formation energy comes out at 29 meV per atom. For the volume, the calculation gives 23.401 Å³ per atom. Its space-group type is F-43m.

***

| no. | VASP energy (eV/atom) |
| --- | --- |
| 1 | -8.19 |
| 2 | -6.80 |
| 3 | -6.64 |
| 4 | -6.75 |
| 5 | -6.67 |
| 6 | -5.48 |
| 7 | -6.98 |
| 8 | -5.86 |
| 9 | -5.65 |
| 10 | -5.61 |
| 11 | -7.38 |
| 12 | -5.03 |